(1)
A relaxed structure of La4Tb5Ho3. Source: the Alexandria database, functional GGA-PBE.

abc: 16.3471 5.9978 9.4971
angles: 90.00 117.54 90.00
Last column: nearest neighbours and their distance in Å.
Space group C2/m (No. 12)
Inequivalent atoms, fractional coordinates:
La 0.0859 0.0000 0.4454 [4 per cell]  2 La 3.42-3.66, 6 Tb 3.46-3.79, 1 Ho 3.49
La 0.2168 0.0000 0.8792 [4 per cell]  3 Ho 3.40-3.55, 3 La 3.62-3.66, 3 Tb 3.71-3.73
Tb 0.0000 0.0000 0.0000 [2 per cell]  4 Ho 3.00-3.15
Tb 0.0706 0.5000 0.7051 [4 per cell]  2 Ho 3.31-3.49, 2 Tb 3.49-3.62
Tb 0.1699 0.5000 0.3827 [4 per cell]  4 Ho 3.23-3.52, 3 La 3.46-3.55
Ho 0.0000 0.5000 0.0000 [2 per cell]  2 Tb 3.00
Ho 0.2134 0.0000 0.2348 [4 per cell]  5 Tb 3.15-3.52, 2 La 3.40-3.49

Properties
As for the calculated formation energy: 0.22 eV/atom. The value obtained for the volume is 825.6 Å³ per cell. Its calculated density is 7.42 Mg/m³.

=====

(2)
A relaxed structure of PbC. Source: the Alexandria database, functional GGA-PBE.

abc: 5.0325 5.0325 4.9163
angles: 90.00 90.00 90.00
Last column: nearest neighbours and their distance in Å.
Space group P4/mmm (No. 123)
Inequivalent atoms, fractional coordinates:
Pb 0.0000 0.0000 0.0000 [1 per cell]  6 C 2.46-2.52
Pb 0.0000 0.5000 0.5000 [2 per cell]  4 C 2.46-2.52
C 0.0000 0.0000 0.5000 [1 per cell]  6 Pb 2.46-2.52
C 0.0000 0.5000 0.0000 [2 per cell]  4 Pb 2.46-2.52

Properties
As for the calculated formation energy: 2.17 eV/atom. The calculation puts the energy above the most stable polymorph in this dataset at 1314 meV per atom. The value obtained for the volume is 124.5 Å³ per cell. Its calculated density is 8.77 Mg/m³.

=====

(3)
A relaxed structure of Pr2TlRuO5. Source: the Alexandria database, functional GGA-PBE.

abc: 6.9862 6.9862 5.8733
angles: 90.00 90.00 90.00
Last column: nearest neighbours and their distance in Å.
Space group P4/mbm (No. 127)
Inequivalent atoms, fractional coordinates:
Pr 0.1782 0.3218 0.0000 [4 per cell]  8 O 2.39-2.62
Tl 0.0000 0.0000 0.5000 [2 per cell]  10 O 2.94-3.11
Ru 0.0000 0.5000 0.5000 [2 per cell]  4 O 1.96
O 0.0000 0.0000 0.0000 [2 per cell]  4 Pr 2.57
O 0.1303 0.6303 0.2477 [8 per cell]  1 Ru 1.96

Properties
The value obtained for the volume is 286.7 Å³ per cell. The value obtained for the total energy is -7.182 eV per atom. Its calculated density is 7.73 Mg/m³.

=====

(4)
A relaxed structure of YHfAu. Source: the Alexandria database, functional GGA-PBE.

abc: 14.4411 3.4861 6.3691
angles: 90.00 116.08 90.00
Last column: nearest neighbours and their distance in Å.
Space group C2/m (No. 12)
Inequivalent atoms, fractional coordinates:
Y 0.1927 0.0000 0.1925 [4 per cell]  4 Au 3.01-3.33
Hf 0.9995 0.5000 0.2290 [4 per cell]  4 Au 2.89, 1 Hf 2.92
Au 0.1179 0.0000 0.6177 [4 per cell]  4 Hf 2.89, 2 Y 3.01, 1 Au 3.06

Properties
As for the calculated formation energy: -0.42 eV/atom. The calculation puts the energy above the most stable polymorph in this dataset at 58 meV per atom. The value obtained for the volume is 288.0 Å³ per cell. Its calculated density is 10.71 Mg/m³.

=====

(5)
A relaxed structure of TmBe2SiNi4. Source: the Alexandria database, functional GGA-PBE.

abc: 3.7985 3.7985 23.8967
angles: 90.00 90.00 120.00
Last column: nearest neighbours and their distance in Å.
Space group R-3m (No. 166, hexagonal axes)
Inequivalent atoms, fractional coordinates:
Tm 0.0000 0.0000 0.0000 [3 per cell]  6 Ni 2.81
Be 0.0000 0.0000 0.2379 [6 per cell]  7 Ni 2.25-2.50
Si 0.0000 0.0000 0.5000 [3 per cell]  8 Ni 2.22-2.33
Ni 0.0000 0.0000 0.1334 [6 per cell]  3 Si 2.33, 4 Be 2.37-2.50
Ni 0.0000 0.0000 0.4069 [6 per cell]  1 Si 2.22, 3 Be 2.25

Properties
The value obtained for the volume is 298.6 Å³ per cell. The value obtained for the total energy is -5.487 eV per atom. Its calculated density is 7.50 Mg/m³.

=====

(6)
A relaxed structure of BiPdPb2. Source: the Alexandria database, functional GGA-PBE.

abc: 3.3591 3.3591 34.7175
angles: 90.00 90.00 120.00
Last column: nearest neighbours and their distance in Å.
Space group R-3m (No. 166, hexagonal axes)
Inequivalent atoms, fractional coordinates:
Bi 0.0000 0.0000 0.0000 [3 per cell]  6 Bi 3.36, 6 Pb 3.63
Pd 0.0000 0.0000 0.5000 [3 per cell]  2 Pb 2.71
Pb 0.0000 0.0000 0.4219 [6 per cell]  1 Pd 2.71

Properties
As for the calculated formation energy: 0.21 eV/atom. The value obtained for the volume is 339.2 Å³ per cell. Its calculated density is 10.72 Mg/m³.

=====

Q: calculated density of number 6 (BiPdPb2)?
A: 10.72 Mg/m³

=====

Q: Look up the calculated density of the third one.
A: 7.73 Mg/m³

=====

Q: What is the formula in the sixth record?
A: BiPdPb2

=====

Q: Look up the calculated density of the fourth one.
A: 10.71 Mg/m³